Computed, not measured: an optimized crystal structure of HoTmScAg at the PBE level of DFT.

Results
**E above lowest polymorph**: 0.000 eV per atom
**E_form**: -0.1192 eV/atom

abc: 3.4791 3.4791 8.4724
angles: 90.00 90.00 90.00
Space group P4mm (No. 99)
Symmetry-distinct sites (fractional):
Ho  0.0000  0.0000  0.0000 x1
Tm  0.0000  0.0000  0.5440 x1
Sc  0.5000  0.5000  0.2732 x1
Ag  0.5000  0.5000  0.7675 x1